## ErTm6Th (PBE)

Data for crystalline ErTm6Th at its relaxed geometry. Values from VASP.

The structure in Quantum ESPRESSO input format:
```
&SYSTEM
  ibrav = 0, nat = 8, ntyp = 3
/
ATOMIC_SPECIES
Tm 168.93 Tm.upf
Th 232.04 Th.upf
Er 167.26 Er.upf
CELL_PARAMETERS angstrom
-2.093 6.249 -0.809
-4.614 -1.717 -4.219
-4.545 2.554 4.165
ATOMIC_POSITIONS angstrom
Tm -8.996 4.712 0.385
Tm -2.257 2.375 -1.248
Tm -6.839 3.522 -1.635
Tm -5.702 0.480 -1.286
Tm -5.551 6.607 0.423
Tm -4.414 3.564 0.772
Th 0.000 0.000 0.000
Er -2.307 -0.858 -2.109
```

Energy of formation: 176 kJ/mol of formula units
Total magnetization: 0.0 μB per cell
Symmetry: P-1
Calculated total energy: -4.6235 eV/atom
Volume: 248.2 Å³/cell
Excess energy over the best structure of this formula in the dataset: 194 meV/atom